Below is crystalline ErLu3N at its relaxed geometry, with properties calculated at the PBE-GGA level.

Summary:
D(E_F): 6.7 states/eV/f.u.
Final energy: -5.83 eV/atom

Unit cell a=4.838 b=4.838 c=4.838 alpha=90.00 beta=90.00 gamma=90.00
Positions (direct):
Lu 0.000 0.000 0.500
N 0.000 0.000 0.000
Lu 0.000 0.500 0.000
Er 0.500 0.500 0.500
Lu 0.500 0.000 0.000


Below is crystalline Er3LuN at its relaxed geometry, with properties calculated at the PBE-GGA level.

Summary:
D(E_F): 5.9 states/eV/f.u.
Final energy: -5.85 eV/atom

Unit cell a=4.890 b=4.890 c=4.890 alpha=90.00 beta=90.00 gamma=90.00
Positions (direct):
Lu 0.500 0.500 0.500
N 0.000 0.000 0.000
Er 0.000 0.000 0.500
Er 0.500 0.000 0.000
Er 0.000 0.500 0.000


Below is crystalline NaErLu2 at its relaxed geometry, with properties calculated at the PBE-GGA level.

Summary:
D(E_F): 5.0 states/eV/f.u.
Formation energy: 18 kJ/mol of atoms
Final energy: -3.54 eV/atom

Unit cell a=3.431 b=3.431 c=12.671 alpha=82.22 beta=82.22 gamma=60.00
Positions (direct):
Lu 0.908 0.908 0.277
Lu 0.092 0.092 0.723
Er 0.500 0.500 0.500
Na 0.000 0.000 0.000